A plane-wave DFT calculation with PBE was carried out for TaTl3Br2F6 after structural relaxation.

Summary:
DOS at the Fermi energy: 0.000 states/eV per cell
Size of the total moment: 0.00 Bohr magnetons per cell
Total energy: -5.047 eV/atom

abc: 9.1990 9.1990 5.0391
angles: 92.51 92.51 51.36
Atoms (fractional coordinates):
Ta 0.0000 0.0000 0.0000
Tl 0.0000 0.5000 0.0000
Tl 0.5000 0.0000 0.0000
Tl 0.5000 0.5000 0.5000
Br 0.3051 0.3051 0.5020
Br 0.6949 0.6949 0.4980
F 0.1070 0.1070 0.8628
F 0.1390 0.7910 0.7552
F 0.2090 0.8610 0.2448
F 0.7910 0.1390 0.7552
F 0.8610 0.2090 0.2448
F 0.8930 0.8930 0.1372